An optimized crystal structure of Li3MnCoO5, computed with PBE with a Hubbard U.

Its raw total energy is -5.7715 eV per atom. The density of states at the Fermi level is 0.8 states/eV/cell. For the spin magnetization, the calculation gives 3.01 μB/f.u. The value obtained for the volume is 367.3 Å³ per cell. Its energy relative to the lowest polymorph listed for this composition is 0.1910 eV/atom.

The space group is C2/m (No. 12) and the conventional cell measures 24.204, 2.877 and 5.276 Å, with angles of 90.00, 91.18 and 90.00 degrees. The inequivalent atoms are Li at (0.000, 0.000, 0.000), Li at (0.000, 0.500, 0.500), Li at (0.091, 0.000, 0.673), Li at (0.196, 0.500, 0.920), Mn at (0.199, 0.000, 0.413), Co at (0.091, 0.500, 0.165), O at (0.054, 0.000, 0.343), O at (0.056, 0.500, 0.865), O at (0.156, 0.000, 0.122), O at (0.160, 0.500, 0.565) and O at (0.247, 0.500, 0.286).